# 1
VASP calculation (PBE-GGA) on Ac2EuAs after structural relaxation.

```
Ac2EuAs
1.0
3.969 0.000 0.000
0.000 3.969 0.000
0.000 0.000 9.452
Ac Eu As
2 1 1
Cartesian
0.000 0.000 1.771
0.000 0.000 7.681
1.985 1.985 4.726
1.985 1.985 0.000
```

Computed properties:
Its energy relative to the elements is -2.0 eV/f.u. For the energy above the most stable polymorph in this dataset, the calculation gives 96 meV/atom.

# 2
VASP calculation (PBE-GGA) on SnSe2NF after structural relaxation.

```
SnSe2NF
1.0
5.472 0.000 0.000
0.000 5.472 0.000
0.000 0.000 4.026
Sn Se N F
1 2 1 1
Cartesian
0.000 0.000 0.000
0.000 2.736 0.000
2.736 0.000 0.000
0.000 0.000 2.013
2.736 2.736 2.013
```

Computed properties:
As for the formation energy (no corrections): 18.7 kcal/mol of atoms. For the energy above the most stable polymorph in this dataset, the calculation gives 0 meV/atom.

# 3
VASP calculation (PBE-GGA) on RbHgGeSe3 after structural relaxation.

```
RbHgGeSe3
1.0
6.250 -4.039 0.000
6.250 4.039 0.000
-3.553 0.000 7.868
Rb Hg Ge Se
2 2 2 6
Cartesian
1.501 0.000 1.690
7.446 0.000 6.178
4.473 2.036 3.934
4.473 -2.036 3.934
2.942 0.000 6.633
6.005 0.000 1.236
4.551 1.963 1.435
1.187 0.000 5.137
4.396 1.963 6.434
4.551 -1.963 1.435
7.760 0.000 2.731
4.396 -1.963 6.434
```

Computed properties:
As for the formation energy (no corrections): -12.0 kcal/mol of atoms.

Electronic total energy? In order: -25.16, -17.11, -38.91 eV for the cell shown.